A plane-wave DFT calculation with PBE was carried out for a relaxed structure of Th2PaZn6.

Lattice parameters (Å, degrees): 3.414 7.957 7.957 60.00 90.00 90.00
Sites, in units of the cell vectors:
Zn (0.500, 0.000, 0.671)
Zn (0.500, 0.329, 0.671)
Zn (0.500, 0.671, 0.000)
Zn (0.500, 0.000, 0.329)
Zn (0.500, 0.671, 0.329)
Zn (0.500, 0.329, 0.000)
Th (0.000, 0.667, 0.667)
Th (0.000, 0.333, 0.333)
Pa (0.000, 0.000, 0.000)

Values from the calculation:
Fermi-level density of states (states/eV/atom): 1.03
M_tot (μB/cell): 0.00
E_form (meV/atom): -196